[1]
VASP calculation (GGA-PBE) on a relaxed structure of Eu3Ho.

DOS(E_F) ... 2.85 states/eV per atom
Formation enthalpy at 0 K ... 0.1154 eV per atom

Cell lengths 3.7127, 6.1615, 6.6402 Å; angles 90.00, 90.00, 90.00 degrees
Atoms (fractional coordinates):
Ho: 0.0000 0.0000 0.9236
Eu: 0.0000 0.5000 0.2362
Eu: 0.5000 0.0000 0.4236
Eu: 0.5000 0.5000 0.7499

---

[2]
VASP calculation (GGA-PBE) on a relaxed structure of EuHoIn2.

DOS(E_F) ... 2.07 states/eV per atom
Formation enthalpy at 0 K ... -0.4691 eV per atom

Cell lengths 3.8425, 3.8425, 7.6914 Å; angles 90.00, 90.00, 90.00 degrees
Atoms (fractional coordinates):
Eu: 0.5000 0.5000 0.5000
In: 0.0000 0.0000 0.2299
In: 0.0000 0.0000 0.7701
Ho: 0.5000 0.5000 0.0000

---

[3]
VASP calculation (GGA-PBE) on a relaxed structure of EuHoIn4.

DOS(E_F) ... 1.52 states/eV per atom
Formation enthalpy at 0 K ... -0.3406 eV per atom

Cell lengths 6.0765, 6.0765, 6.0765 Å; angles 60.00, 60.00, 60.00 degrees
Atoms (fractional coordinates):
In: 0.6251 0.1246 0.6251
In: 0.1246 0.6251 0.6251
In: 0.6251 0.6251 0.1246
In: 0.6251 0.6251 0.6251
Eu: 0.2500 0.2500 0.2500
Ho: 0.0000 0.0000 0.0000

---

Number 1: final energy -8.73 eV per atom. Number 2: final energy -5.55 eV per atom. Number 3: final energy -4.64 eV per atom.